Entry P
Computed, not measured: an optimized crystal structure of GaNiBiO2 at the GGA+U level of DFT.

extended XYZ file:
```
5
Lattice="4.199 0.000 0.000 0.000 4.199 0.000 0.000 0.000 5.956" Properties=species:S:1:pos:R:3 pbc="T T T"
Ga 0.000 0.000 0.000
Ni 2.100 2.100 0.000
Bi 0.000 0.000 2.978
O 0.000 2.100 2.978
O 2.100 0.000 2.978
```

Output
Its symmetry is P4/mmm (123). As for the spin magnetization: 1.14 μB/f.u. The density of states at the Fermi level comes out at 0.81 states/eV/atom.

---

Entry Q
Computed, not measured: an optimized crystal structure of GaNiBiO2 at the GGA+U level of DFT.

extended XYZ file:
```
5
Lattice="4.025 0.000 0.000 0.000 4.025 0.000 0.000 0.000 4.533" Properties=species:S:1:pos:R:3 pbc="T T T"
Ga 0.000 0.000 0.000
Ni 0.000 0.000 2.266
Bi 2.013 2.013 0.000
O 0.000 2.013 2.266
O 2.013 0.000 2.266
```

Output
Its symmetry is P4/mmm (123). As for the spin magnetization: 0.91 μB/f.u. The density of states at the Fermi level comes out at 0.59 states/eV/atom.

---

Which of them is least stable? Easy: entry P.